# GGA-PBE ZrSiPb2, optimized geometry
data_ZrSiPb2
_symmetry_space_group_name_H-M 'I m m 2'
_symmetry_Int_Tables_number 44
_cell_length_a 3.664
_cell_length_b 5.209
_cell_length_c 9.998
_cell_angle_alpha 90.00
_cell_angle_beta 90.00
_cell_angle_gamma 90.00
loop_
_symmetry_equiv_pos_as_xyz
'x,y,z'
'-x,-y,z'
'-x,y,z'
'x,-y,z'
'x+1/2,y+1/2,z+1/2'
'-x+1/2,-y+1/2,z+1/2'
'-x+1/2,y+1/2,z+1/2'
'x+1/2,-y+1/2,z+1/2'
loop_
_atom_site_label
_atom_site_type_symbol
_atom_site_fract_x
_atom_site_fract_y
_atom_site_fract_z
_atom_site_occupancy
Zr1 Zr 0.000 0.000 0.000 1
Si1 Si 0.000 0.500 0.701 1
Pb1 Pb 0.000 0.000 0.445 1
Pb2 Pb 0.000 0.500 0.225 1
# - Uncorrected formation energy: 110 meV per atom
# - Magnetization: 0.00 μB per formula unit



# GGA-PBE ZrSiPb2, optimized geometry
data_ZrSiPb2
_symmetry_space_group_name_H-M 'P m m m'
_symmetry_Int_Tables_number 47
_cell_length_a 4.134
_cell_length_b 4.452
_cell_length_c 5.236
_cell_angle_alpha 90.00
_cell_angle_beta 90.00
_cell_angle_gamma 90.00
loop_
_symmetry_equiv_pos_as_xyz
'x,y,z'
'-x,-y,-z'
'-x,-y,z'
'x,y,-z'
'x,-y,-z'
'-x,y,z'
'-x,y,-z'
'x,-y,z'
loop_
_atom_site_label
_atom_site_type_symbol
_atom_site_fract_x
_atom_site_fract_y
_atom_site_fract_z
_atom_site_occupancy
Zr1 Zr 0.000 0.000 0.000 1
Si1 Si 0.500 0.500 0.000 1
Pb1 Pb 0.000 0.500 0.500 1
Pb2 Pb 0.500 0.000 0.500 1
# - Uncorrected formation energy: 215 meV per atom
# - Magnetization: 0.00 μB per formula unit